1.
Here is crystalline PrDy2Te at its relaxed geometry from the Alexandria database. Energies are from GGA-PBE.

Raw total energy: -19.3 eV per cell
Magnetization: 0.0 Bohr magnetons per cell
Fermi-level density of states: 5.4 states/eV/f.u.
E above lowest polymorph: 110 meV/atom

```
PrDy2Te
1.0
3.874 0.000 0.000
0.000 3.874 0.000
0.000 0.000 8.067
Pr Te Dy
1 1 2
Cartesian
1.937 1.937 0.000
1.937 1.937 4.033
0.000 0.000 5.787
0.000 0.000 2.280
```

2.
Here is crystalline Pr2DyTe at its relaxed geometry from the Alexandria database. Energies are from GGA-PBE.

Raw total energy: -19.6 eV per cell
Magnetization: 0.0 Bohr magnetons per cell
Fermi-level density of states: 5.3 states/eV/f.u.
E above lowest polymorph: 0 meV/atom

```
Pr2DyTe
1.0
-3.255 -0.259 2.328
0.285 -4.000 -0.046
4.645 0.255 6.523
Pr Te Dy
2 1 1
Cartesian
3.366 0.185 4.727
1.278 0.070 1.795
0.837 -2.002 4.402
-1.485 -2.129 1.141
```

3.
Here is crystalline PrDy2Te4 at its relaxed geometry from the Alexandria database. Energies are from GGA-PBE.

Raw total energy: -36.3 eV per cell
Magnetization: 0.0 Bohr magnetons per cell
Fermi-level density of states: 3.0 states/eV/f.u.
E above lowest polymorph: 0 meV/atom

```
PrDy2Te4
1.0
-2.378 0.592 3.651
-6.381 -1.037 -3.988
4.752 -7.132 1.604
Pr Dy Te
1 2 4
Cartesian
0.000 0.000 0.000
0.270 -3.739 0.782
-4.276 -3.838 0.485
-4.151 -2.559 -2.289
0.144 -5.018 3.556
-1.885 -5.722 -0.300
-2.121 -1.856 1.567
```

4.
Here is crystalline PrDy2Te5 at its relaxed geometry from the Alexandria database. Energies are from GGA-PBE.

Raw total energy: -79.0 eV per cell
Magnetization: 0.0 Bohr magnetons per cell
Fermi-level density of states: 5.4 states/eV/f.u.

```
PrDy2Te5
1.0
-6.295 0.396 -5.221
0.003 -8.164 -0.623
-1.438 3.463 8.416
Pr Dy Te
2 4 10
Cartesian
-5.437 -4.095 -0.175
-2.292 -0.211 2.747
-0.951 -2.787 -1.007
-4.099 -0.977 -3.495
-2.192 -6.791 -2.350
-5.340 -4.981 -4.837
-4.225 -3.035 2.847
-5.479 -6.745 -2.343
0.000 0.000 0.000
-3.146 -3.884 -2.922
-2.250 2.440 4.914
-5.397 1.121 2.188
-1.078 -1.716 5.573
-2.333 -5.426 0.384
-6.651 -2.590 -3.001
-3.504 -1.270 -0.275
```